The following is a DFT calculation (GGA+U) of a relaxed Mg2FeTeO6 crystal.

ρ = 4.9 g/cm3
Total DFT energy (no corrections) = -6.01 eV/atom
Total magnetic moment = 0.40 μB/atom
Space-group type = P1, No. 1

Lattice parameters (Å, degrees): 5.2228 5.2412 5.5748 117.21 90.90 119.51
Last column: nearest neighbours and their distance in Å.
Element x y z (fractional)
Mg  0.0000  0.0000  0.0000  6 O 2.07-2.27
Mg  0.4910  0.9820  0.4769  6 O 2.03-2.20
Fe  0.2820  0.5611  0.8461  4 O 2.04-2.23
Te  0.7947  0.5864  0.3856  6 O 1.94-1.99
O  0.0584  0.4764  0.1789  1 Te 1.94, 1 Mg 2.07
O  0.1732  0.0483  0.6523  1 Te 1.97, 1 Mg 2.03, 1 Fe 2.13
O  0.4213  0.1174  0.1807  1 Te 1.95, 2 Mg 2.07-2.16
O  0.5987  0.7688  0.6550  1 Te 1.98, 2 Mg 2.04-2.19, 1 Fe 2.10
O  0.6897  0.7519  0.1729  1 Te 1.96, 2 Mg 2.09-2.20
O  0.8842  0.4730  0.6576  1 Te 1.99, 1 Fe 2.04, 1 Mg 2.05